Entry 1:
Entry from the Alexandria database: ScCoTe3 after structural relaxation (GGA-PBE).

```
ScCoTe3
1.0
-3.1557 3.0621 2.4474
-2.5146 0.8290 -4.2795
-3.0071 -3.9066 1.0103
Sc Te Co
1 3 1
direct
0.5000 0.5000 0.5000 Sc
0.0000 0.5000 0.0000 Te
0.0000 0.0000 0.5000 Te
0.5000 0.0000 0.0000 Te
0.0000 0.0000 0.0000 Co
```

Results
The space group is Pm-3m (221). The magnetization is 0.0 μB/f.u. The value obtained for the volume is 25.5 Å³ per atom. The energy relative to the elements, uncorrected is 0.04 eV/atom. For the density of states at the Fermi level, the calculation gives 5.63 states/eV/f.u.

---

Entry 2:
Entry from the Alexandria database: Sc2CoTe after structural relaxation (GGA-PBE).

```
Sc2CoTe
1.0
3.5127 0.1569 0.0000
-0.1569 3.5127 0.0000
0.0000 0.0000 6.3778
Co Sc Te
1 2 1
direct
0.5000 0.5000 0.7500 Co
0.0000 0.0000 0.9780 Sc
0.0000 0.0000 0.5220 Sc
0.5000 0.5000 0.2500 Te
```

Results
The space group is P4/mmm (123). The magnetization is 0.5 μB/f.u. The value obtained for the volume is 19.7 Å³ per atom. The energy relative to the elements, uncorrected is -0.48 eV/atom. For the density of states at the Fermi level, the calculation gives 2.25 states/eV/f.u.

---

Entry 3:
Entry from the Alexandria database: ScCoTe2 after structural relaxation (GGA-PBE).

```
ScCoTe2
1.0
-1.9071 -0.8883 -3.1266
-1.4226 -3.0312 1.7290
-5.3424 3.7571 2.1912
Co Sc Te
1 1 2
direct
0.0000 0.0000 0.4989 Co
0.5000 0.5000 0.7510 Sc
0.0000 0.0000 0.8950 Te
0.5000 0.5000 0.3551 Te
```

Results
The space group is P4mm (99). The magnetization is 1.6 μB/f.u. The value obtained for the volume is 24.5 Å³ per atom. The energy relative to the elements, uncorrected is -0.48 eV/atom. For the density of states at the Fermi level, the calculation gives 3.55 states/eV/f.u.

---

Entry 4:
Entry from the Alexandria database: ScCoTe2 after structural relaxation (GGA-PBE).

```
ScCoTe2
1.0
-0.9456 0.7461 -3.4723
2.9545 -2.0527 -1.2456
-2.0699 -6.5137 -0.8359
Co Sc Te
1 1 2
direct
0.5000 0.2500 0.2500 Co
0.5000 0.7500 0.7500 Sc
0.0000 0.1698 0.0095 Te
0.0000 0.3302 0.4905 Te
```

Results
The space group is P2/m (10). The magnetization is 1.1 μB/f.u. The value obtained for the volume is 22.8 Å³ per atom. The energy relative to the elements, uncorrected is -0.29 eV/atom. For the density of states at the Fermi level, the calculation gives 3.97 states/eV/f.u.

---

Entry 5:
Entry from the Alexandria database: Sc2CoTe after structural relaxation (GGA-PBE).

```
Sc2CoTe
1.0
5.6077 -0.0013 0.0000
2.8111 4.8523 0.0000
-4.2094 -2.4255 2.8008
Co Sc Te
1 2 1
direct
0.7500 0.2500 0.5000 Co
0.0000 0.0000 0.0000 Sc
0.2500 0.7500 0.5000 Sc
0.5000 0.5000 0.0000 Te
```

Results
The space group is I-4m2 (119). The magnetization is 0.0 μB/f.u. The value obtained for the volume is 19.1 Å³ per atom. The energy relative to the elements, uncorrected is -0.38 eV/atom. For the density of states at the Fermi level, the calculation gives 3.89 states/eV/f.u.

---

Entry 6:
Entry from the Alexandria database: ScCoTe2 after structural relaxation (GGA-PBE).

```
ScCoTe2
1.0
2.1228 0.0000 8.6188
-1.0614 1.8384 8.6188
-1.0614 -1.8384 8.6188
Sc Te Co
1 2 1
direct
0.0000 0.0000 0.0000 Sc
0.8878 0.8878 0.8878 Te
0.1122 0.1122 0.1122 Te
0.5000 0.5000 0.5000 Co
```

Results
The space group is R-3m (166). The magnetization is 0.0 μB/f.u. The value obtained for the volume is 25.2 Å³ per atom. The energy relative to the elements, uncorrected is -0.09 eV/atom. For the density of states at the Fermi level, the calculation gives 7.44 states/eV/f.u.